No. 1
HoInS2: relaxed, PBE.

Calculated values
- Total energy: -5.282 eV per atom

Unit cell a=3.9623 b=3.9623 c=22.8358 alpha=90.00 beta=90.00 gamma=120.00
Closest atoms and distances in Å follow each position.
Space group R3m (No. 160, hexagonal axes)
Symmetry-distinct sites (fractional):
Ho  0.0000  0.0000  0.0000  6 S 2.72-2.76
In  0.0000  0.0000  0.8294  6 S 3.15-3.33
S  0.0000  0.0000  0.4010  3 Ho 2.76
S  0.0000  0.0000  0.6021  3 Ho 2.72

No. 2
HoIn3S6: relaxed, PBE.

Calculated values
- Total energy: -4.648 eV per atom

Unit cell a=10.8735 b=3.8760 c=11.2776 alpha=90.00 beta=111.65 gamma=90.00
Closest atoms and distances in Å follow each position.
Space group P2_1/m (No. 11)
Symmetry-distinct sites (fractional):
Ho  0.2002  0.2500  0.0497  8 S 2.74-2.98
In  0.0178  0.7500  0.2949  6 S 2.56-2.83
In  0.3338  0.2500  0.4369  6 S 2.56-2.76
In  0.4051  0.7500  0.8318  6 S 2.58-2.73
S  0.0373  0.7500  0.9013  3 Ho 2.74-2.83, 2 In 2.83
S  0.1045  0.2500  0.4517  3 In 2.56
S  0.2377  0.7500  0.2516  3 In 2.61-2.76, 2 Ho 2.90
S  0.2397  0.2500  0.8017  3 In 2.58-2.60
S  0.4083  0.7500  0.0711  3 In 2.69-2.73, 2 Ho 2.92
S  0.4376  0.7500  0.6030  4 In 2.64-2.73

No. 3
Ho4InS2: relaxed, PBE.

Calculated values
- Total energy: -5.485 eV per atom

Unit cell a=3.9231 b=13.0854 c=13.4592 alpha=90.00 beta=90.00 gamma=90.00
Closest atoms and distances in Å follow each position.
Space group Cmcm (No. 63)
Symmetry-distinct sites (fractional):
Ho  0.0000  0.0000  0.0000  4 S 2.74
Ho  0.0000  0.2656  0.1157  3 S 2.68-2.72
Ho  0.0000  0.4250  0.7500  2 S 2.70
In  0.0000  0.1068  0.7500  6 Ho 3.08-3.15
S  0.0000  0.3660  0.5579  6 Ho 2.68-2.74

No. 4
Ho3In5S12: relaxed, PBE.

Calculated values
- Total energy: -4.914 eV per atom

Unit cell a=15.6666 b=15.6666 c=15.6666 alpha=90.00 beta=90.00 gamma=90.00
Closest atoms and distances in Å follow each position.
Space group Ia-3d (No. 230)
Symmetry-distinct sites (fractional):
Ho  0.0000  0.2500  0.1250  8 S 2.93-2.94
In  0.0000  0.0000  0.0000  6 S 2.62
In  0.0000  0.2500  0.3750  4 S 2.46
S  0.0208  0.0658  0.6526  2 In 2.46-2.62

No. 5
Ho2InS: relaxed, PBE.

Calculated values
- Total energy: -5.212 eV per atom

Unit cell a=3.7842 b=3.7842 c=23.8517 alpha=90.00 beta=90.00 gamma=120.00
Closest atoms and distances in Å follow each position.
Space group R-3m (No. 166, hexagonal axes)
Symmetry-distinct sites (fractional):
Ho  0.0000  0.0000  0.2345  3 S 2.72
In  0.0000  0.0000  0.0000  6 Ho 3.21
S  0.0000  0.0000  0.5000  6 Ho 2.72

No. 6
Ho8InS4: relaxed, PBE.

Calculated values
- Total energy: -5.540 eV per atom

Unit cell a=18.3923 b=3.8254 c=13.0066 alpha=90.00 beta=134.93 gamma=90.00
Closest atoms and distances in Å follow each position.
Space group C2/m (No. 12)
Symmetry-distinct sites (fractional):
Ho  0.0448  0.0000  0.2042  3 S 2.68-2.69
Ho  0.1282  0.5000  0.7922  3 S 2.72-2.80
Ho  0.1580  0.5000  0.1132  3 S 2.68-2.69
Ho  0.1644  0.5000  0.5366  3 S 2.72-2.80
In  0.0000  0.0000  0.5000  8 Ho 3.32
S  0.1583  0.0000  0.9677  6 Ho 2.68-2.80
S  0.1905  0.5000  0.3490  6 Ho 2.68-2.80

No. 7
HoInS3: relaxed, PBE.

Calculated values
- Total energy: -5.222 eV per atom

Unit cell a=6.7779 b=4.0631 c=10.5012 alpha=90.00 beta=102.30 gamma=90.00
Closest atoms and distances in Å follow each position.
Space group P2_1/m (No. 11)
Symmetry-distinct sites (fractional):
Ho  0.0130  0.2500  0.3338  6 S 2.69-2.84
In  0.4718  0.2500  0.8082  4 S 2.42-2.62
S  0.1899  0.7500  0.2331  1 In 2.42, 2 Ho 2.69
S  0.2084  0.2500  0.5861  1 In 2.62, 3 Ho 2.70-2.76
S  0.3146  0.7500  0.8853  2 In 2.51

No. 8
Ho4InS6: relaxed, PBE.

Calculated values
- Total energy: -5.937 eV per atom

Unit cell a=3.9325 b=13.0579 c=20.7155 alpha=90.00 beta=90.00 gamma=90.00
Closest atoms and distances in Å follow each position.
Space group Cmcm (No. 63)
Symmetry-distinct sites (fractional):
Ho  0.0000  0.0964  0.1332  5 S 2.60-2.84
Ho  0.0000  0.3676  0.0414  6 S 2.62-2.81
In  0.0000  0.1622  0.7500  6 S 2.95-3.26
S  0.0000  0.0000  0.0000  6 Ho 2.75-3.03
S  0.0000  0.1690  0.2500  2 Ho 2.60
S  0.0000  0.2718  0.5800  5 Ho 2.80-2.84
S  0.0000  0.4632  0.1525  3 Ho 2.62-2.66

No. 9
Ho2InS4: relaxed, PBE.

Calculated values
- Total energy: -5.576 eV per atom

Unit cell a=14.6607 b=3.9516 c=6.9154 alpha=90.00 beta=116.28 gamma=90.00
Closest atoms and distances in Å follow each position.
Space group C2/m (No. 12)
Symmetry-distinct sites (fractional):
Ho  0.2295  0.0000  0.2202  6 S 2.67-2.82
In  0.0000  0.5000  0.5000  6 S 2.83-2.89
S  0.1308  0.5000  0.9483  3 Ho 2.67-2.77, 1 In 2.83
S  0.1438  0.0000  0.4980  3 Ho 2.72-2.82, 2 In 2.89

No. 10
Ho2In2S7: relaxed, PBE.

Calculated values
- Total energy: -4.961 eV per atom

Unit cell a=8.0080 b=12.0453 c=6.9521 alpha=90.00 beta=114.48 gamma=90.00
Closest atoms and distances in Å follow each position.
Space group C2/m (No. 12)
Symmetry-distinct sites (fractional):
Ho  0.0000  0.1824  0.0000  6 S 2.69-2.80
In  0.2411  0.5000  0.3475  4 S 2.41-2.56
S  0.0000  0.5000  0.5000  2 S 2.49, 2 In 2.56
S  0.1690  0.0000  0.2551  1 S 2.49, 1 In 2.55
S  0.2221  0.1780  0.7879  1 In 2.41, 1 Ho 2.69

No. 11
HoInS3: relaxed, PBE.

Calculated values
- Total energy: -5.206 eV per atom

Unit cell a=6.7754 b=6.7754 c=18.0970 alpha=90.00 beta=90.00 gamma=120.00
Closest atoms and distances in Å follow each position.
Space group R-3 (No. 148, hexagonal axes)
Symmetry-distinct sites (fractional):
Ho  0.0000  0.0000  0.1490  6 S 2.69-2.77
In  0.0000  0.0000  0.3510  6 S 2.60-2.73
S  0.0076  0.7006  0.2515  2 In 2.60-2.73, 2 Ho 2.69-2.77

No. 12
Ho4In5S13: relaxed, PBE.

Calculated values
- Total energy: -5.078 eV per atom

Unit cell a=11.9339 b=21.4956 c=3.8461 alpha=90.00 beta=90.00 gamma=90.00
Closest atoms and distances in Å follow each position.
Space group Pbam (No. 55)
Symmetry-distinct sites (fractional):
Ho  0.0197  0.1754  0.0000  7 S 2.81-2.87
Ho  0.1819  0.3395  0.0000  6 S 2.76-2.87
In  0.0000  0.5000  0.0000  6 S 2.52-2.77
In  0.1533  0.9918  0.5000  6 S 2.60-2.76
In  0.1582  0.6666  0.5000  4 S 2.48-2.51
S  0.0000  0.0000  0.0000  4 In 2.66
S  0.0041  0.4072  0.5000  3 In 2.50-2.77
S  0.0894  0.2627  0.5000  4 Ho 2.76-2.81
S  0.1447  0.8634  0.5000  1 In 2.76, 4 Ho 2.87
S  0.1536  0.1150  0.5000  2 In 2.51-2.65
S  0.1610  0.7396  0.0000  2 In 2.48
S  0.2049  0.4714  0.0000  3 In 2.52-2.60

No. 13
Ho2ScInS6: relaxed, PBE.

Calculated values
- Total energy: -5.906 eV per atom

Unit cell a=6.7382 b=6.7382 c=18.0102 alpha=90.00 beta=90.00 gamma=120.00
Closest atoms and distances in Å follow each position.
Space group R3 (No. 146, hexagonal axes)
Symmetry-distinct sites (fractional):
Ho  0.0000  0.0000  0.0000  6 S 2.70-2.77
Ho  0.0000  0.0000  0.4942  6 S 2.71-2.74
Sc  0.0000  0.0000  0.7982  6 S 2.56-2.66
In  0.0000  0.0000  0.2924  6 S 2.59-2.77
S  0.0115  0.7071  0.8945  1 In 2.59, 1 Sc 2.66, 2 Ho 2.71-2.77
S  0.0148  0.3720  0.0615  1 Sc 2.56, 2 Ho 2.70-2.74, 1 In 2.77

No. 14
HoInSeS: relaxed, PBE.

Calculated values
- Total energy: -5.070 eV per atom

Unit cell a=4.0518 b=4.0518 c=23.3435 alpha=90.00 beta=90.00 gamma=120.00
Closest atoms and distances in Å follow each position.
Space group R3m (No. 160, hexagonal axes)
Symmetry-distinct sites (fractional):
Ho  0.0000  0.0000  0.0000  3 S 2.70, 3 Se 2.92
In  0.0000  0.0000  0.8308  3 Se 3.13, 3 S 3.50
Se  0.0000  0.0000  0.4082  3 Ho 2.92, 3 In 3.13
S  0.0000  0.0000  0.6089  3 Ho 2.70

No. 15
Ho3Tl4InS8: relaxed, PBE.

Calculated values
- Total energy: -4.912 eV per atom

Unit cell a=7.9795 b=7.9795 c=22.5881 alpha=90.00 beta=90.00 gamma=120.00
Closest atoms and distances in Å follow each position.
Space group R-3m (No. 166, hexagonal axes)
Symmetry-distinct sites (fractional):
Ho  0.0000  0.5000  0.0000  6 S 2.74-2.75
Tl  0.0000  0.0000  0.5000  6 S 3.27
Tl  0.0000  0.5000  0.5000  6 S 3.23-3.24
In  0.0000  0.0000  0.0000  6 S 2.71
S  0.0000  0.0000  0.2677  3 Ho 2.74
S  0.0047  0.5024  0.7322  1 In 2.71, 2 Ho 2.75

No. 16
Ho2Tl3InS6: relaxed, PBE.

Calculated values
- Total energy: -4.787 eV per atom

Unit cell a=6.8978 b=11.9354 c=7.8828 alpha=90.00 beta=107.02 gamma=90.00
Closest atoms and distances in Å follow each position.
Space group C2/m (No. 12)
Symmetry-distinct sites (fractional):
Ho  0.0000  0.1664  0.0000  6 S 2.75-2.76
Tl  0.0000  0.0000  0.5000  6 S 3.23-3.26
Tl  0.0000  0.3311  0.5000  6 S 3.23-3.27
In  0.0000  0.5000  0.0000  6 S 2.69-2.71
S  0.2285  0.3367  0.1950  1 In 2.69, 2 Ho 2.75
S  0.2382  0.0000  0.1988  1 In 2.71, 2 Ho 2.76

No. 17
HoTm2In3S6: relaxed, PBE.

Calculated values
- Total energy: -5.280 eV per atom

Unit cell a=6.8410 b=11.8491 c=7.8551 alpha=90.00 beta=106.88 gamma=90.00
Closest atoms and distances in Å follow each position.
Space group C2/m (No. 12)
Symmetry-distinct sites (fractional):
Ho  0.0000  0.0000  0.0000  6 S 2.74
Tm  0.0000  0.3334  0.0000  6 S 2.72
In  0.0000  0.1665  0.5000  6 S 3.20-3.22
In  0.0000  0.5000  0.5000  6 S 3.20-3.22
S  0.2306  0.5000  0.1986  2 Tm 2.72, 1 Ho 2.74
S  0.2342  0.1679  0.1991  2 Tm 2.72, 1 Ho 2.74